<A>
! PBE Si2PbSe, relaxed; values from VASP
! V   28.22 Å³/atom
! Mass density   5.0 Mg/m³
! SG   I-42d, No. 122
&SYSTEM
  ibrav = 0, nat = 8, ntyp = 3
/
ATOMIC_SPECIES
Pb 207.20 Pb.upf
Si 28.09 Si.upf
Se 78.96 Se.upf
ATOMIC_POSITIONS crystal
Pb 0.750 0.250 0.500
Si 0.875 0.840 0.750
Se 0.250 0.750 0.500
Si 0.375 0.410 0.750
Si 0.160 0.625 0.250
Si 0.590 0.125 0.250
Se 0.500 0.500 0.000
Pb 0.000 0.000 0.000
CELL_PARAMETERS angstrom
5.698 0.000 0.000
0.000 5.698 0.000
2.849 2.849 6.954

***

<B>
! PBE Si2PbSe, relaxed; values from VASP
! V   22.60 Å³/atom
! Mass density   6.3 Mg/m³
! SG   Cmmm, No. 65
&SYSTEM
  ibrav = 0, nat = 4, ntyp = 3
/
ATOMIC_SPECIES
Si 28.09 Si.upf
Pb 207.20 Pb.upf
Se 78.96 Se.upf
ATOMIC_POSITIONS crystal
Si 0.000 0.000 0.539
Si 0.000 0.000 0.961
Pb 0.500 0.500 0.250
Se 0.500 0.500 0.750
CELL_PARAMETERS angstrom
-3.000 0.462 1.588
0.056 -1.137 -3.231
0.274 -8.364 2.949

***

So which one is most stable? That would be <A>, about 3.8 kJ/mol of atoms below the next structure.